w) # BaMn3Rh | Alexandria via LeMat-Bulk | PBE | relaxed
data_BaMn3Rh
_symmetry_space_group_name_H-M 'P 1'
_symmetry_Int_Tables_number 1
_symmetry_space_group_name_Hall 'P 1'
_cell_length_a 4.977
_cell_length_b 4.977
_cell_length_c 4.977
_cell_angle_alpha 90.00
_cell_angle_beta 90.00
_cell_angle_gamma 90.00
loop_
_atom_site_label
_atom_site_type_symbol
_atom_site_fract_x
_atom_site_fract_y
_atom_site_fract_z
_atom_site_occupancy
Mn1 Mn 0.000 0.500 0.000 1
Mn2 Mn 0.000 0.000 0.500 1
Mn3 Mn 0.500 0.000 0.000 1
Rh1 Rh 0.000 0.000 0.000 1
Ba1 Ba 0.500 0.500 0.500 1
# - symmetry = Pm-3m (221)

***

x) # BaMn3Rh | Alexandria via LeMat-Bulk | PBE | relaxed
data_BaMn3Rh
_symmetry_space_group_name_H-M 'P 1'
_symmetry_Int_Tables_number 1
_symmetry_space_group_name_Hall 'P 1'
_cell_length_a 4.949
_cell_length_b 4.949
_cell_length_c 4.949
_cell_angle_alpha 90.00
_cell_angle_beta 90.00
_cell_angle_gamma 90.00
loop_
_atom_site_label
_atom_site_type_symbol
_atom_site_fract_x
_atom_site_fract_y
_atom_site_fract_z
_atom_site_occupancy
Mn1 Mn 0.000 0.500 0.000 1
Mn2 Mn 0.000 0.000 0.500 1
Mn3 Mn 0.500 0.000 0.000 1
Rh1 Rh 0.500 0.500 0.500 1
Ba1 Ba 0.000 0.000 0.000 1
# - symmetry = Pm-3m (221)

***

How far above the most stable structure does each one sit? In meV per atom: w) 0; x) 1834.

***

w) # BaMn3Ru | Alexandria via LeMat-Bulk | PBE | relaxed
data_BaMn3Ru
_symmetry_space_group_name_H-M 'P 1'
_symmetry_Int_Tables_number 1
_symmetry_space_group_name_Hall 'P 1'
_cell_length_a 4.941
_cell_length_b 4.941
_cell_length_c 4.941
_cell_angle_alpha 90.00
_cell_angle_beta 90.00
_cell_angle_gamma 90.00
loop_
_atom_site_label
_atom_site_type_symbol
_atom_site_fract_x
_atom_site_fract_y
_atom_site_fract_z
_atom_site_occupancy
Ru1 Ru 0.500 0.500 0.500 1
Mn1 Mn 0.000 0.500 0.000 1
Mn2 Mn 0.000 0.000 0.500 1
Mn3 Mn 0.500 0.000 0.000 1
Ba1 Ba 0.000 0.000 0.000 1
# - symmetry = Pm-3m (221)

***

x) # BaMn3Ru | Alexandria via LeMat-Bulk | PBE | relaxed
data_BaMn3Ru
_symmetry_space_group_name_H-M 'P 1'
_symmetry_Int_Tables_number 1
_symmetry_space_group_name_Hall 'P 1'
_cell_length_a 4.950
_cell_length_b 4.950
_cell_length_c 4.950
_cell_angle_alpha 90.00
_cell_angle_beta 90.00
_cell_angle_gamma 90.00
loop_
_atom_site_label
_atom_site_type_symbol
_atom_site_fract_x
_atom_site_fract_y
_atom_site_fract_z
_atom_site_occupancy
Ru1 Ru 0.000 0.000 0.000 1
Mn1 Mn 0.000 0.500 0.000 1
Mn2 Mn 0.000 0.000 0.500 1
Mn3 Mn 0.500 0.000 0.000 1
Ba1 Ba 0.500 0.500 0.500 1
# - symmetry = Pm-3m (221)

***

How far above the most stable structure does each one sit? In meV per atom: w) 1872; x) 0.